GaNiF3 | GGA+U | optimized geometry

POSCAR file:
```
GaNiF3
1.0
4.062 0.000 0.000
0.000 4.062 0.000
0.000 0.000 4.062
Ga Ni F
1 1 3
Direct
0.000 0.000 0.000
0.500 0.500 0.500
0.000 0.500 0.500
0.500 0.000 0.500
0.500 0.500 0.000
```

Summary:
Space-group type   Pm-3m (221)
DFT total energy   -20.7 eV per cell
Total moment   0.400 μB/atom